A relaxed ZrPaGa crystal. Source: the Alexandria database, functional PBE.

Cell lengths 5.5261, 5.5261, 5.5261 Å; angles 140.75, 140.75, 56.71 degrees
Element x y z (fractional)
Zr  0.0000  0.0000  0.0000
Pa  0.2926  0.2926  0.0000
Ga  0.6199  0.6199  0.0000

Results
Formation energy from the elements in eV/atom: -0.082
Electronic total energy in eV/atom: -7.11
DOS at the Fermi energy in states/eV/cell: 4.792
Magnetic moment in μB/atom: 0.00
Space group: I4mm (107)
Excess energy over the best structure of this formula in the dataset in meV per atom: 0.0
Crystal system: tetragonal

A relaxed ZrPaGa crystal. Source: the Alexandria database, functional PBE.

Cell lengths 4.9836, 4.9836, 3.1153 Å; angles 90.00, 90.00, 120.00 degrees
Element x y z (fractional)
Zr  0.0000  0.0000  0.0000
Pa  0.3333  0.6667  0.5000
Ga  0.6667  0.3333  0.0000

Results
Formation energy from the elements in eV/atom: -0.045
Electronic total energy in eV/atom: -7.07
DOS at the Fermi energy in states/eV/cell: 4.950
Magnetic moment in μB/atom: 0.00
Space group: P-6m2 (187)
Excess energy over the best structure of this formula in the dataset in meV per atom: 37.3
Crystal system: hexagonal

A relaxed Zr2PaGa crystal. Source: the Alexandria database, functional PBE.

Cell lengths 9.9303, 9.9303, 9.9303 Å; angles 18.99, 18.99, 18.99 degrees
Element x y z (fractional)
Zr  0.2433  0.2433  0.2433
Zr  0.7567  0.7567  0.7567
Pa  0.0000  0.0000  0.0000
Ga  0.5000  0.5000  0.5000

Results
Formation energy from the elements in eV/atom: -0.065
Electronic total energy in eV/atom: -7.47
DOS at the Fermi energy in states/eV/cell: 6.888
Magnetic moment in μB/atom: 0.00
Space group: R-3m (166)
Excess energy over the best structure of this formula in the dataset in meV per atom: 169.8
Crystal system: trigonal

A relaxed Ga13Pb2 crystal. Source: the Alexandria database, functional PBE.

Cell lengths 9.2229, 9.2229, 9.2229 Å; angles 47.73, 47.73, 47.73 degrees
Element x y z (fractional)
Ga  0.0000  0.0000  0.0000
Ga  0.0497  0.0497  0.6417
Ga  0.0497  0.6417  0.0497
Ga  0.2365  0.2365  0.6050
Ga  0.2365  0.6050  0.2365
Ga  0.3583  0.9503  0.9503
Ga  0.3950  0.7635  0.7635
Ga  0.6050  0.2365  0.2365
Ga  0.6417  0.0497  0.0497
Ga  0.7635  0.3950  0.7635
Ga  0.7635  0.7635  0.3950
Ga  0.9503  0.3583  0.9503
Ga  0.9503  0.9503  0.3583
Pb  0.1912  0.1912  0.1912
Pb  0.8088  0.8088  0.8088

Results
Formation energy from the elements in eV/atom: 0.152
Electronic total energy in eV/atom: -2.97
DOS at the Fermi energy in states/eV/cell: 4.382
Magnetic moment in μB/atom: 0.00
Space group: R-3m (166)
Crystal system: trigonal

A relaxed GaPb crystal. Source: the Alexandria database, functional PBE.

Cell lengths 7.5137, 5.6022, 9.8303 Å; angles 90.00, 90.00, 90.00 degrees
Element x y z (fractional)
Ga  0.0000  0.0000  0.0000
Ga  0.0000  0.5000  0.0000
Ga  0.1815  0.2500  0.4983
Ga  0.3185  0.7500  0.9983
Ga  0.5000  0.0000  0.5000
Ga  0.5000  0.5000  0.5000
Ga  0.6815  0.2500  0.0017
Ga  0.8185  0.7500  0.5017
Pb  0.1524  0.7500  0.3140
Pb  0.1583  0.7500  0.6831
Pb  0.3417  0.2500  0.1831
Pb  0.3476  0.2500  0.8140
Pb  0.6524  0.7500  0.1860
Pb  0.6583  0.7500  0.8169
Pb  0.8417  0.2500  0.3169
Pb  0.8476  0.2500  0.6860

Results
Formation energy from the elements in eV/atom: 0.059
Electronic total energy in eV/atom: -3.31
DOS at the Fermi energy in states/eV/cell: 6.330
Magnetic moment in μB/atom: 0.00
Space group: Pnma (62)
Crystal system: orthorhombic

A relaxed GaPb crystal. Source: the Alexandria database, functional PBE.

Cell lengths 4.5581, 4.5581, 4.5581 Å; angles 60.00, 60.00, 60.00 degrees
Element x y z (fractional)
Ga  0.0000  0.0000  0.0000
Pb  0.7500  0.7500  0.7500

Results
Formation energy from the elements in eV/atom: 0.286
Electronic total energy in eV/atom: -3.08
DOS at the Fermi energy in states/eV/cell: 1.827
Magnetic moment in μB/atom: 0.00
Space group: F-43m (216)
Crystal system: cubic

A relaxed Ga11Pb3 crystal. Source: the Alexandria database, functional PBE.

Cell lengths 8.6864, 8.6864, 8.6864 Å; angles 150.75, 102.78, 84.62 degrees
Element x y z (fractional)
Ga  0.0000  0.0000  0.0000
Ga  0.0744  0.8529  0.2215
Ga  0.1917  0.5000  0.6917
Ga  0.2237  0.3477  0.8760
Ga  0.3686  0.1471  0.2215
Ga  0.4717  0.3477  0.1240
Ga  0.5283  0.6523  0.8760
Ga  0.6314  0.8529  0.7785
Ga  0.7763  0.6523  0.1240
Ga  0.8083  0.5000  0.3083
Ga  0.9256  0.1471  0.7785
Pb  0.1933  0.6933  0.5000
Pb  0.5000  0.0000  0.5000
Pb  0.8067  0.3067  0.5000

Results
Formation energy from the elements in eV/atom: 0.037
Electronic total energy in eV/atom: -3.14
DOS at the Fermi energy in states/eV/cell: 6.200
Magnetic moment in μB/atom: 0.00
Space group: Immm (71)
Crystal system: orthorhombic

A relaxed Ga11Pb crystal. Source: the Alexandria database, functional PBE.

Cell lengths 8.7448, 8.7448, 8.7448 Å; angles 102.64, 102.64, 124.23 degrees
Element x y z (fractional)
Ga  0.0000  0.0000  0.0000
Ga  0.0000  0.0000  0.5000
Ga  0.0000  0.5000  0.0000
Ga  0.1119  0.5384  0.3308
Ga  0.1119  0.7812  0.5736
Ga  0.1250  0.8750  0.2500
Ga  0.2188  0.2924  0.3308
Ga  0.2188  0.8881  0.9264
Ga  0.2924  0.2188  0.8308
Ga  0.2924  0.4616  0.0736
Ga  0.4616  0.2924  0.5736
Ga  0.4616  0.8881  0.1692
Ga  0.5000  0.0000  0.5000
Ga  0.5384  0.1119  0.8308
Ga  0.5384  0.7076  0.4264
Ga  0.7076  0.5384  0.9264
Ga  0.7076  0.7812  0.1692
Ga  0.7812  0.1119  0.0736
Ga  0.7812  0.7076  0.6692
Ga  0.8750  0.1250  0.7500
Ga  0.8881  0.2188  0.4264
Ga  0.8881  0.4616  0.6692
Pb  0.3750  0.6250  0.7500
Pb  0.6250  0.3750  0.2500

Results
Formation energy from the elements in eV/atom: 0.031
Electronic total energy in eV/atom: -3.05
DOS at the Fermi energy in states/eV/cell: 7.094
Magnetic moment in μB/atom: 0.00
Space group: I4_1/amd (141)
Crystal system: tetragonal

A relaxed GaPb crystal. Source: the Alexandria database, functional PBE.

Cell lengths 8.5297, 8.5297, 8.5297 Å; angles 93.66, 93.66, 150.75 degrees
Element x y z (fractional)
Ga  0.1891  0.2542  0.4434
Ga  0.2542  0.8109  0.0651
Ga  0.7458  0.1891  0.9349
Ga  0.8109  0.7458  0.5566
Pb  0.0428  0.6609  0.7038
Pb  0.3391  0.0428  0.3819
Pb  0.6609  0.9572  0.6181
Pb  0.9572  0.3391  0.2962

Results
Formation energy from the elements in eV/atom: 0.241
Electronic total energy in eV/atom: -3.13
DOS at the Fermi energy in states/eV/cell: 2.665
Magnetic moment in μB/atom: 0.00
Space group: I4/m (87)
Crystal system: tetragonal

A relaxed Ga2Pb3 crystal. Source: the Alexandria database, functional PBE.

Cell lengths 6.4531, 6.4531, 6.4531 Å; angles 92.74, 92.74, 92.74 degrees
Element x y z (fractional)
Ga  0.1244  0.1244  0.1244
Ga  0.3756  0.3756  0.3756
Ga  0.6244  0.6244  0.6244
Ga  0.8756  0.8756  0.8756
Pb  0.0757  0.7500  0.4243
Pb  0.2500  0.5757  0.9243
Pb  0.4243  0.0757  0.7500
Pb  0.5757  0.9243  0.2500
Pb  0.7500  0.4243  0.0757
Pb  0.9243  0.2500  0.5757

Results
Formation energy from the elements in eV/atom: 0.070
Electronic total energy in eV/atom: -3.37
DOS at the Fermi energy in states/eV/cell: 5.715
Magnetic moment in μB/atom: 0.00
Space group: R-3c (167)
Crystal system: trigonal

A relaxed Ga4Pb crystal. Source: the Alexandria database, functional PBE.

Cell lengths 5.4992, 5.4992, 5.4992 Å; angles 90.00, 90.00, 90.00 degrees
Element x y z (fractional)
Ga  0.0000  0.0000  0.0000
Ga  0.0000  0.5000  0.5000
Ga  0.5000  0.0000  0.5000
Ga  0.5000  0.5000  0.0000
Pb  0.5000  0.5000  0.5000

Results
Formation energy from the elements in eV/atom: 0.679
Electronic total energy in eV/atom: -2.48
DOS at the Fermi energy in states/eV/cell: 3.327
Magnetic moment in μB/atom: 0.00
Space group: Pm-3m (221)
Excess energy over the best structure of this formula in the dataset in meV per atom: 657.9
Crystal system: cubic

A relaxed GaPb crystal. Source: the Alexandria database, functional PBE.

Cell lengths 7.9471, 7.9471, 7.9471 Å; angles 90.00, 90.00, 90.00 degrees
Element x y z (fractional)
Ga  0.0000  0.2500  0.5000
Ga  0.0000  0.7500  0.5000
Ga  0.2500  0.5000  0.0000
Ga  0.5000  0.0000  0.2500
Ga  0.5000  0.0000  0.7500
Ga  0.7500  0.5000  0.0000
Pb  0.0000  0.5000  0.2500
Pb  0.0000  0.5000  0.7500
Pb  0.2500  0.0000  0.5000
Pb  0.5000  0.2500  0.0000
Pb  0.5000  0.7500  0.0000
Pb  0.7500  0.0000  0.5000

Results
Formation energy from the elements in eV/atom: 0.385
Electronic total energy in eV/atom: -2.98
DOS at the Fermi energy in states/eV/cell: 14.005
Magnetic moment in μB/atom: 0.00
Space group: Pm-3n (223)
Crystal system: cubic

A relaxed GaPb crystal. Source: the Alexandria database, functional PBE.

Cell lengths 5.1406, 5.1406, 5.1406 Å; angles 65.44, 65.44, 65.44 degrees
Element x y z (fractional)
Ga  0.1116  0.1116  0.1116
Ga  0.8884  0.8884  0.8884
Pb  0.3626  0.3626  0.3626
Pb  0.6374  0.6374  0.6374

Results
Formation energy from the elements in eV/atom: 0.114
Electronic total energy in eV/atom: -3.25
DOS at the Fermi energy in states/eV/cell: 1.873
Magnetic moment in μB/atom: 0.00
Space group: R-3m (166)
Crystal system: trigonal

A relaxed GaPb crystal. Source: the Alexandria database, functional PBE.

Cell lengths 7.4343, 7.4343, 4.7937 Å; angles 90.00, 90.00, 143.95 degrees
Element x y z (fractional)
Ga  0.0000  0.0000  0.0000
Ga  0.1710  0.8290  0.5000
Ga  0.8290  0.1710  0.5000
Pb  0.3348  0.6652  0.0000
Pb  0.5000  0.5000  0.5000
Pb  0.6652  0.3348  0.0000

Results
Formation energy from the elements in eV/atom: 0.074
Electronic total energy in eV/atom: -3.29
DOS at the Fermi energy in states/eV/cell: 2.124
Magnetic moment in μB/atom: 0.00
Space group: Cmmm (65)
Crystal system: orthorhombic

A relaxed GaPb4 crystal. Source: the Alexandria database, functional PBE.

Cell lengths 11.8741, 11.8741, 11.8741 Å; angles 162.79, 162.79, 24.43 degrees
Element x y z (fractional)
Ga  0.0000  0.0000  0.0000
Pb  0.1966  0.1966  0.0000
Pb  0.4122  0.4122  0.0000
Pb  0.5878  0.5878  0.0000
Pb  0.8034  0.8034  0.0000

Results
Formation energy from the elements in eV/atom: 0.031
Electronic total energy in eV/atom: -3.54
DOS at the Fermi energy in states/eV/cell: 2.592
Magnetic moment in μB/atom: 0.00
Space group: I4/mmm (139)
Excess energy over the best structure of this formula in the dataset in meV per atom: 0.0
Crystal system: tetragonal

A relaxed GaPb crystal. Source: the Alexandria database, functional PBE.

Cell lengths 4.7342, 11.7831, 7.6976 Å; angles 90.00, 90.00, 90.00 degrees
Element x y z (fractional)
Ga  0.2500  0.1132  0.1996
Ga  0.2500  0.3868  0.1996
Ga  0.2500  0.7500  0.3302
Ga  0.7500  0.2500  0.6698
Ga  0.7500  0.6132  0.8004
Ga  0.7500  0.8868  0.8004
Pb  0.2500  0.2500  0.4949
Pb  0.2500  0.6070  0.0256
Pb  0.2500  0.8930  0.0256
Pb  0.7500  0.1070  0.9744
Pb  0.7500  0.3930  0.9744
Pb  0.7500  0.7500  0.5051

Results
Formation energy from the elements in eV/atom: 0.298
Electronic total energy in eV/atom: -3.07
DOS at the Fermi energy in states/eV/cell: 3.605
Magnetic moment in μB/atom: 0.00
Space group: Pmmn (59)
Crystal system: orthorhombic

A relaxed GaPb4 crystal. Source: the Alexandria database, functional PBE.

Cell lengths 5.5157, 5.5157, 5.5157 Å; angles 90.00, 90.00, 90.00 degrees
Element x y z (fractional)
Ga  0.0000  0.0000  0.0000
Pb  0.0000  0.0000  0.5000
Pb  0.0000  0.5000  0.0000
Pb  0.5000  0.0000  0.0000
Pb  0.5000  0.5000  0.5000

Results
Formation energy from the elements in eV/atom: 0.317
Electronic total energy in eV/atom: -3.25
DOS at the Fermi energy in states/eV/cell: 3.739
Magnetic moment in μB/atom: 0.00
Space group: Pm-3m (221)
Excess energy over the best structure of this formula in the dataset in meV per atom: 285.9
Crystal system: cubic

A relaxed GaPb crystal. Source: the Alexandria database, functional PBE.

Cell lengths 8.2247, 8.2247, 8.2247 Å; angles 92.26, 92.26, 157.10 degrees
Element x y z (fractional)
Ga  0.0700  0.3755  0.4455
Ga  0.3755  0.9300  0.3055
Ga  0.6245  0.0700  0.6945
Ga  0.9300  0.6245  0.5545
Pb  0.1252  0.8263  0.9516
Pb  0.1737  0.1252  0.2989
Pb  0.8263  0.8748  0.7011
Pb  0.8748  0.1737  0.0484

Results
Formation energy from the elements in eV/atom: 0.091
Electronic total energy in eV/atom: -3.28
DOS at the Fermi energy in states/eV/cell: 4.575
Magnetic moment in μB/atom: 0.00
Space group: I4/m (87)
Crystal system: tetragonal

A relaxed Ga4Pb crystal. Source: the Alexandria database, functional PBE.

Cell lengths 6.5163, 6.5163, 6.5163 Å; angles 141.09, 141.09, 56.20 degrees
Element x y z (fractional)
Ga  0.1100  0.1100  0.0000
Ga  0.2500  0.7500  0.5000
Ga  0.7500  0.2500  0.5000
Ga  0.8900  0.8900  0.0000
Pb  0.5000  0.5000  0.0000

Results
Formation energy from the elements in eV/atom: 0.022
Electronic total energy in eV/atom: -3.14
DOS at the Fermi energy in states/eV/cell: 1.399
Magnetic moment in μB/atom: 0.00
Space group: I4/mmm (139)
Excess energy over the best structure of this formula in the dataset in meV per atom: 0.0
Crystal system: tetragonal

A relaxed GaPb5 crystal. Source: the Alexandria database, functional PBE.

Cell lengths 5.9070, 5.9070, 5.9994 Å; angles 90.00, 90.00, 120.57 degrees
Element x y z (fractional)
Ga  0.0000  0.0000  0.0000
Pb  0.1621  0.8379  0.5000
Pb  0.3314  0.6686  0.0000
Pb  0.5000  0.5000  0.5000
Pb  0.6686  0.3314  0.0000
Pb  0.8379  0.1621  0.5000

Results
Formation energy from the elements in eV/atom: 0.063
Electronic total energy in eV/atom: -3.53
DOS at the Fermi energy in states/eV/cell: 2.697
Magnetic moment in μB/atom: 0.00
Space group: Cmmm (65)
Excess energy over the best structure of this formula in the dataset in meV per atom: 17.1
Crystal system: orthorhombic